No. 1
First-principles (PBE) data for a geometry-optimized Tc5MoW structure, as listed in Alexandria via LeMat-Bulk.

Structure (POSCAR):
```
Tc5MoW
1.0
8.256 0.000 0.000
0.000 4.962 0.000
0.000 0.000 10.842
Tc Mo W
20 4 4
Cartesian
0.389 1.241 0.784
0.577 2.531 3.357
0.577 4.912 3.357
0.797 3.722 5.667
1.576 3.722 8.110
2.552 1.241 2.689
3.331 1.241 0.246
3.551 0.050 8.778
3.551 2.431 8.778
3.739 3.722 6.205
4.517 1.241 4.637
4.705 2.531 2.064
4.705 4.912 2.064
4.925 3.722 10.596
5.704 3.722 8.153
6.680 1.241 2.732
7.459 1.241 5.175
7.679 0.050 7.485
7.679 2.431 7.485
7.867 3.722 10.058
1.103 1.241 9.226
3.025 3.722 3.805
5.231 1.241 7.037
7.153 3.722 1.616
1.875 3.722 0.666
2.253 1.241 6.087
6.003 3.722 4.755
6.381 1.241 10.176
```

Output
- formation enthalpy at 0 K (eV per atom) = 0.32
- E (eV/atom) = -10.480
- V (Å³/f.u.) = 111.0


No. 2
First-principles (PBE) data for a geometry-optimized TcMoW2 structure, as listed in Alexandria via LeMat-Bulk.

Structure (POSCAR):
```
TcMoW2
1.0
-1.578 2.236 4.455
1.578 -2.236 4.455
1.578 2.236 -4.455
Tc Mo W
1 1 2
Cartesian
0.000 0.000 0.000
0.000 0.000 4.455
1.578 0.000 2.256
0.000 2.236 2.199
```

Output
- formation enthalpy at 0 K (eV per atom) = 0.04
- E (eV/atom) = -11.736
- V (Å³/f.u.) = 62.9


No. 3
First-principles (PBE) data for a geometry-optimized TcMo6W8 structure, as listed in Alexandria via LeMat-Bulk.

Structure (POSCAR):
```
TcMo6W8
1.0
10.059 0.000 0.000
-5.029 8.711 0.000
0.000 0.000 2.913
Tc Mo W
1 6 8
Cartesian
0.000 0.000 0.000
-2.160 5.503 2.524
1.343 4.089 2.524
4.213 0.881 0.389
0.817 7.830 2.524
3.686 4.622 0.389
7.189 3.208 0.389
-0.589 2.474 1.864
-2.593 7.984 1.864
1.848 1.747 1.049
0.000 5.807 1.087
5.029 2.904 1.826
3.181 6.964 1.864
7.622 0.727 1.049
5.618 6.237 1.049
```

Output
- formation enthalpy at 0 K (eV per atom) = 0.60
- E (eV/atom) = -11.331
- V (Å³/f.u.) = 255.2


No. 4
First-principles (PBE) data for a geometry-optimized TcMoW2 structure, as listed in Alexandria via LeMat-Bulk.

Structure (POSCAR):
```
TcMoW2
1.0
1.578 -2.241 0.000
1.578 2.241 0.000
0.000 0.000 8.899
Tc Mo W
1 1 2
Cartesian
0.000 0.000 0.000
0.000 0.000 4.449
1.578 0.000 2.201
1.578 0.000 6.698
```

Output
- formation enthalpy at 0 K (eV per atom) = 0.06
- E (eV/atom) = -11.714
- V (Å³/f.u.) = 62.9


No. 5
First-principles (PBE) data for a geometry-optimized TcMo4W structure, as listed in Alexandria via LeMat-Bulk.

Structure (POSCAR):
```
TcMo4W
1.0
0.000 3.652 3.652
3.652 0.000 3.652
3.652 3.652 0.000
Tc Mo W
1 4 1
Cartesian
0.000 0.000 0.000
2.743 2.743 2.743
4.561 4.561 2.743
4.561 2.743 4.561
2.743 4.561 4.561
5.478 5.478 5.478
```

Output
- formation enthalpy at 0 K (eV per atom) = 0.38
- E (eV/atom) = -10.727
- V (Å³/f.u.) = 97.4


No. 6
First-principles (PBE) data for a geometry-optimized TcMo2W4 structure, as listed in Alexandria via LeMat-Bulk.

Structure (POSCAR):
```
TcMo2W4
1.0
5.389 0.000 0.000
-0.865 6.934 0.000
-0.896 -3.459 6.021
Tc Mo W
2 4 8
Cartesian
0.000 0.000 0.000
1.373 2.971 3.379
-0.714 0.974 5.097
0.940 3.464 5.981
2.860 -1.490 4.259
3.618 4.969 1.648
0.164 -1.477 4.260
0.901 0.478 2.501
0.928 4.980 1.645
1.975 2.480 0.797
1.987 0.990 5.099
3.592 0.471 2.506
4.668 2.479 0.788
4.080 2.977 3.416
```

Output
- formation enthalpy at 0 K (eV per atom) = 0.17
- E (eV/atom) = -11.806
- V (Å³/f.u.) = 112.5


No. 7
First-principles (PBE) data for a geometry-optimized Tc2Mo3W8 structure, as listed in Alexandria via LeMat-Bulk.

Structure (POSCAR):
```
Tc2Mo3W8
1.0
5.121 0.000 0.000
0.078 5.146 0.000
0.456 1.873 8.030
Tc Mo W
2 3 8
Cartesian
0.578 1.457 0.228
5.076 5.562 7.802
1.652 3.857 3.511
2.788 0.937 4.015
4.002 3.162 4.519
0.485 1.650 2.829
1.288 2.415 5.820
1.850 4.459 0.892
2.577 4.861 6.523
3.077 2.158 1.507
3.805 2.560 7.138
4.366 4.604 2.211
5.169 5.369 5.202
```

Output
- formation enthalpy at 0 K (eV per atom) = 0.31
- E (eV/atom) = -11.758
- V (Å³/f.u.) = 211.6


No. 8
First-principles (PBE) data for a geometry-optimized TcMo8W2 structure, as listed in Alexandria via LeMat-Bulk.

Structure (POSCAR):
```
TcMo8W2
1.0
3.167 0.000 0.000
-0.030 7.074 0.000
-1.564 -2.120 7.757
Tc Mo W
1 8 2
Cartesian
0.000 0.000 0.000
-0.009 2.818 1.400
-0.019 5.661 2.809
-0.011 4.241 5.642
0.010 0.003 7.049
1.563 4.952 0.708
1.584 0.713 2.115
1.592 -0.707 4.948
1.582 2.136 6.356
0.000 1.411 4.237
1.573 3.543 3.520
```

Output
- formation enthalpy at 0 K (eV per atom) = 0.01
- E (eV/atom) = -11.168
- V (Å³/f.u.) = 173.8


No. 9
First-principles (PBE) data for a geometry-optimized TcMoW2 structure, as listed in Alexandria via LeMat-Bulk.

Structure (POSCAR):
```
TcMoW2
1.0
1.580 -2.236 0.000
1.580 2.236 0.000
0.000 0.000 8.907
Tc Mo W
1 1 2
Cartesian
0.000 0.000 0.000
1.580 0.000 2.202
0.000 0.000 4.449
1.580 0.000 6.710
```

Output
- formation enthalpy at 0 K (eV per atom) = 0.07
- E (eV/atom) = -11.709
- V (Å³/f.u.) = 62.9


No. 10
First-principles (PBE) data for a geometry-optimized TcMoW2 structure, as listed in Alexandria via LeMat-Bulk.

Structure (POSCAR):
```
TcMoW2
1.0
2.751 0.000 0.000
0.000 4.451 0.000
-0.948 0.000 5.137
Tc Mo W
1 1 2
Cartesian
0.000 0.000 0.000
0.035 2.226 3.821
0.920 0.000 2.565
1.840 2.226 1.248
```

Output
- formation enthalpy at 0 K (eV per atom) = 0.05
- E (eV/atom) = -11.728
- V (Å³/f.u.) = 62.9


No. 11
First-principles (PBE) data for a geometry-optimized TcMoW2 structure, as listed in Alexandria via LeMat-Bulk.

Structure (POSCAR):
```
TcMoW2
1.0
2.767 0.000 0.000
0.000 2.767 0.000
0.000 0.000 8.297
Tc Mo W
1 1 2
Cartesian
0.000 0.000 0.000
1.383 1.383 6.368
0.000 0.000 4.171
1.383 1.383 1.965
```

Output
- formation enthalpy at 0 K (eV per atom) = 0.26
- E (eV/atom) = -11.513
- V (Å³/f.u.) = 63.5


No. 12
First-principles (PBE) data for a geometry-optimized TcMoW14 structure, as listed in Alexandria via LeMat-Bulk.

Structure (POSCAR):
```
TcMoW14
1.0
3.182 -4.486 0.000
3.182 4.486 0.000
0.000 0.000 8.999
Tc Mo W
1 1 14
Cartesian
0.000 0.000 0.000
3.182 0.000 0.000
0.000 0.000 4.500
1.591 2.243 0.000
1.591 2.243 4.500
1.594 0.000 2.249
1.594 0.000 6.750
3.182 2.247 2.237
3.182 2.247 6.763
1.591 -2.243 0.000
1.591 -2.243 4.500
3.182 0.000 4.500
3.182 -2.247 2.237
3.182 -2.247 6.763
4.770 0.000 2.249
4.770 0.000 6.750
```

Output
- formation enthalpy at 0 K (eV per atom) = 0.01
- E (eV/atom) = -12.649
- V (Å³/f.u.) = 256.9


No. 13
First-principles (PBE) data for a geometry-optimized TcMoW2 structure, as listed in Alexandria via LeMat-Bulk.

Structure (POSCAR):
```
TcMoW2
1.0
3.156 0.000 0.000
0.000 3.156 0.000
0.000 0.000 6.320
Tc Mo W
1 1 2
Cartesian
0.000 0.000 0.000
1.578 1.578 4.646
0.000 0.000 3.136
1.578 1.578 1.504
```

Output
- formation enthalpy at 0 K (eV per atom) = 0.03
- E (eV/atom) = -11.749
- V (Å³/f.u.) = 62.9


No. 14
First-principles (PBE) data for a geometry-optimized TcMo6W8 structure, as listed in Alexandria via LeMat-Bulk.

Structure (POSCAR):
```
TcMo6W8
1.0
3.514 2.029 5.718
-3.514 2.029 5.718
0.000 -4.058 5.718
Tc Mo W
1 6 8
Cartesian
0.000 0.000 0.000
-0.813 -1.493 5.011
-0.886 1.450 5.011
-1.699 -0.043 12.143
1.699 0.043 5.011
0.886 -1.450 12.143
0.813 1.493 12.143
-2.472 -0.713 9.228
-0.618 -2.497 7.927
-1.854 1.784 7.927
0.000 0.000 7.265
0.000 0.000 9.889
1.854 -1.784 9.228
0.618 2.497 9.228
2.472 0.713 7.927
```

Output
- formation enthalpy at 0 K (eV per atom) = 0.25
- E (eV/atom) = -11.677
- V (Å³/f.u.) = 244.7


No. 15
First-principles (PBE) data for a geometry-optimized TcMoW structure, as listed in Alexandria via LeMat-Bulk.

Structure (POSCAR):
```
TcMoW
1.0
5.396 0.000 0.000
0.000 4.396 0.000
0.000 0.000 7.936
Tc Mo W
4 4 4
Cartesian
0.449 1.099 0.570
2.249 3.297 4.538
3.147 1.099 3.399
4.947 3.297 7.367
0.442 1.099 3.310
2.256 3.297 7.278
3.140 1.099 0.658
4.954 3.297 4.627
1.290 1.099 5.978
1.408 3.297 2.010
3.988 1.099 5.927
4.106 3.297 1.958
```

Output
- formation enthalpy at 0 K (eV per atom) = 0.13
- E (eV/atom) = -11.254
- V (Å³/f.u.) = 47.1


No. 16
First-principles (PBE) data for a geometry-optimized TcMo4W5 structure, as listed in Alexandria via LeMat-Bulk.

Structure (POSCAR):
```
TcMo4W5
1.0
3.168 0.000 0.000
0.000 3.168 0.000
0.000 0.000 15.818
Tc Mo W
1 4 5
Cartesian
0.000 0.000 0.000
0.000 0.000 3.138
0.000 0.000 6.320
0.000 0.000 9.498
0.000 0.000 12.679
1.584 1.584 1.585
1.584 1.584 4.734
1.584 1.584 7.909
1.584 1.584 11.084
1.584 1.584 14.233
```

Output
- formation enthalpy at 0 K (eV per atom) = 0.00
- E (eV/atom) = -11.849
- V (Å³/f.u.) = 158.8


No. 17
First-principles (PBE) data for a geometry-optimized Tc3MoW structure, as listed in Alexandria via LeMat-Bulk.

Structure (POSCAR):
```
Tc3MoW
1.0
4.617 0.000 0.000
0.000 4.617 0.000
0.000 0.000 4.617
Tc Mo W
3 1 1
Cartesian
0.000 0.000 2.309
0.000 2.309 0.000
2.309 0.000 0.000
2.309 2.309 2.309
0.000 0.000 0.000
```

Output
- formation enthalpy at 0 K (eV per atom) = 1.96
- E (eV/atom) = -9.016
- V (Å³/f.u.) = 98.4


No. 18
First-principles (PBE) data for a geometry-optimized TcMoW structure, as listed in Alexandria via LeMat-Bulk.

Structure (POSCAR):
```
TcMoW
1.0
-1.575 1.575 4.724
1.575 -1.575 4.724
1.575 1.575 -4.724
Tc Mo W
1 1 1
Cartesian
0.000 0.000 0.000
0.000 0.000 6.355
0.000 0.000 3.167
```

Output
- formation enthalpy at 0 K (eV per atom) = 0.06
- E (eV/atom) = -11.328
- V (Å³/f.u.) = 46.8


No. 19
First-principles (PBE) data for a geometry-optimized TcMoW2 structure, as listed in Alexandria via LeMat-Bulk.

Structure (POSCAR):
```
TcMoW2
1.0
-1.427 2.335 5.082
1.427 -2.335 5.082
1.427 2.335 -5.082
Tc Mo W
1 1 2
Cartesian
0.000 0.000 0.000
0.000 0.000 5.082
0.000 0.000 2.435
0.000 0.000 7.728
```

Output
- formation enthalpy at 0 K (eV per atom) = 0.92
- E (eV/atom) = -10.856
- V (Å³/f.u.) = 67.8


No. 20
First-principles (PBE) data for a geometry-optimized TcMoW structure, as listed in Alexandria via LeMat-Bulk.

Structure (POSCAR):
```
TcMoW
1.0
2.744 0.000 0.000
0.000 4.424 0.000
-0.076 0.000 7.713
Tc Mo W
2 2 2
Cartesian
0.554 1.106 3.185
2.114 3.318 4.528
0.360 3.318 7.089
2.308 1.106 0.625
1.272 1.106 5.744
1.396 3.318 1.969
```

Output
- formation enthalpy at 0 K (eV per atom) = 0.06
- E (eV/atom) = -11.326
- V (Å³/f.u.) = 46.8